Here is an optimized crystal structure of Be11Mo3 from the Alexandria database. Energies are from PBE.

Summary:
As for the space-group type: Immm, No. 71. The size of the total moment is 0.0 μB/cell. Its formation energy is -205 meV/atom. Its density of states at the Fermi level is 0.26 states/eV/atom. The total energy is -5.45 eV per atom. The value obtained for the density is 4.85 Mg/m³.

a = 3.3839 Å, b = 6.5680 Å, c = 6.5680 Å
α = 73.25°, β = 75.07°, γ = 75.07°
Closest atoms and distances in Å follow each position.
Fractional coordinates of all 14 atoms:
Mo: 0.0000 0.0000 0.0000  16 Be 2.54-2.79
Be: 0.8645 0.8612 0.4097  6 Be 2.06-2.23
Be: 0.5000 0.7175 0.2825  6 Be 2.03-2.17
Be: 0.1355 0.1388 0.5903  6 Be 2.06-2.23
Mo: 0.6844 0.3156 0.3156  12 Be 2.49-2.51
Be: 0.0000 0.5000 0.5000  8 Be 2.23-2.40
Be: 0.5000 0.2825 0.7175  6 Be 2.03-2.17
Be: 0.8645 0.4097 0.8612  6 Be 2.06-2.23
Mo: 0.3156 0.6844 0.6844  12 Be 2.49-2.51
Be: 0.3356 0.0343 0.2945  5 Be 2.03-2.13
Be: 0.6644 0.7055 0.9657  5 Be 2.03-2.13
Be: 0.1355 0.5903 0.1388  6 Be 2.06-2.23
Be: 0.6644 0.9657 0.7055  5 Be 2.03-2.13
Be: 0.3356 0.2945 0.0343  5 Be 2.03-2.13